1.
DFT (GGA-PBE) results for a geometry-optimized In2IrPd structure.

Cell: 3.116 4.748 4.748 Å, 90.00 90.00 90.00°
Fractional positions:
Ir (0.500, 0.000, 0.000)
Pd (0.500, 0.500, 0.500)
In (0.000, 0.000, 0.500)
In (0.000, 0.500, 0.000)

Values from the calculation:
Volume = 17.56 Å³/atom
Size of the total moment = 0.00 μB per atom
Final energy = -20.6 eV per formula unit
N(E_F) = 1.3 states/eV/f.u.

2.
DFT (GGA-PBE) results for a geometry-optimized TaBe3 structure.

Cell: 4.556 4.556 7.460 Å, 72.22 72.22 60.00°
Fractional positions:
Be (0.500, 0.500, 0.500)
Be (0.335, 0.335, 0.996)
Be (0.665, 0.665, 0.004)
Be (0.584, 0.075, 0.757)
Be (0.075, 0.584, 0.757)
Be (0.584, 0.584, 0.757)
Be (0.416, 0.416, 0.243)
Be (0.416, 0.925, 0.243)
Be (0.925, 0.416, 0.243)
Ta (0.000, 0.000, 0.000)
Ta (0.140, 0.140, 0.580)
Ta (0.860, 0.860, 0.420)

Values from the calculation:
Volume = 10.46 Å³/atom
Size of the total moment = 0.00 μB per atom
Final energy = -24.0 eV per formula unit
N(E_F) = 1.2 states/eV/f.u.

3.
DFT (GGA-PBE) results for a geometry-optimized Tb3Pm2Y6Zr structure.

Cell: 6.140 6.140 11.728 Å, 94.98 94.98 119.94°
Fractional positions:
Tb (0.166, 0.834, 0.500)
Tb (0.834, 0.166, 0.500)
Tb (0.500, 0.500, 0.500)
Pm (0.333, 0.667, 0.000)
Pm (0.667, 0.333, 0.000)
Y (0.918, 0.591, 0.754)
Y (0.756, 0.756, 0.246)
Y (0.082, 0.409, 0.246)
Y (0.591, 0.918, 0.754)
Y (0.244, 0.244, 0.754)
Y (0.409, 0.082, 0.246)
Zr (0.000, 0.000, 0.000)

Values from the calculation:
Volume = 31.45 Å³/atom
Size of the total moment = 0.00 μB per atom
Final energy = -70.1 eV per formula unit
N(E_F) = 15.9 states/eV/f.u.

4.
DFT (GGA-PBE) results for a geometry-optimized CrCdPt structure.

Cell: 2.826 2.826 20.681 Å, 90.00 90.00 120.00°
Fractional positions:
Cr (0.000, 0.000, 0.728)
Cr (0.333, 0.667, 0.395)
Cr (0.667, 0.333, 0.062)
Pt (0.000, 0.000, 0.965)
Pt (0.333, 0.667, 0.632)
Pt (0.667, 0.333, 0.298)
Cd (0.000, 0.000, 0.177)
Cd (0.333, 0.667, 0.843)
Cd (0.667, 0.333, 0.510)

Values from the calculation:
Volume = 15.89 Å³/atom
Offset from the most stable computed form = 0.1602 eV per atom
Size of the total moment = 0.26 μB per atom
N(E_F) = 3.0 states/eV/f.u.

5.
DFT (GGA-PBE) results for a geometry-optimized NiIrSe structure.

Cell: 2.952 2.952 5.747 Å, 90.00 90.00 120.00°
Fractional positions:
Ir (0.000, 0.000, 0.002)
Ni (0.333, 0.667, 0.350)
Se (0.667, 0.333, 0.648)

Values from the calculation:
Volume = 14.45 Å³/atom
Offset from the most stable computed form = 0.0224 eV per atom
E_form (uncorrected) = 0.286 eV/atom
Size of the total moment = 0.00 μB per atom
N(E_F) = 3.0 states/eV/f.u.

6.
DFT (GGA-PBE) results for a geometry-optimized Cs2LaGe2S6 structure.

Cell: 7.417 7.420 9.052 Å, 114.22 90.00 119.98°
Fractional positions:
Cs (0.715, 0.431, 0.147)
Cs (0.285, 0.569, 0.853)
La (0.500, 0.000, 0.500)
Ge (0.897, 0.794, 0.691)
Ge (0.103, 0.206, 0.309)
S (0.747, 0.493, 0.743)
S (0.253, 0.004, 0.257)
S (0.250, 0.996, 0.743)
S (0.747, 0.996, 0.743)
S (0.750, 0.004, 0.257)
S (0.253, 0.507, 0.257)

Values from the calculation:
Volume = 34.55 Å³/atom
E_form (uncorrected) = -0.941 eV/atom
Size of the total moment = 0.00 μB per atom
N(E_F) = 2.6 states/eV/f.u.

Copy entry 5 word for word.
DFT (GGA-PBE) results for a geometry-optimized NiIrSe structure.

Cell: 2.952 2.952 5.747 Å, 90.00 90.00 120.00°
Fractional positions:
Ir (0.000, 0.000, 0.002)
Ni (0.333, 0.667, 0.350)
Se (0.667, 0.333, 0.648)

Values from the calculation:
Volume = 14.45 Å³/atom
Offset from the most stable computed form = 0.0224 eV per atom
E_form (uncorrected) = 0.286 eV/atom
Size of the total moment = 0.00 μB per atom
N(E_F) = 3.0 states/eV/f.u.